No. 1
The following is a PBE calculation of crystalline NdY2Zr at its relaxed geometry, from Alexandria via LeMat-Bulk.

POSCAR file:
```
NdY2Zr
1.0
-1.823 -0.212 2.977
-2.583 -2.338 0.306
5.941 -8.515 5.085
Y Nd Zr
2 1 1
Cartesian
4.227 -6.742 4.162
0.247 -2.625 2.018
0.762 -5.526 4.181
-2.934 -1.704 2.191
```

Computed properties:
**ΔE to the lowest computed polymorph**: 0 meV per atom
**Total magnetic moment**: 0.0 μB per cell
**Electronic total energy**: -6.47 eV/atom
**V**: 120.57 Å³/cell

=====

No. 2
The following is a PBE calculation of crystalline NdY2Zr at its relaxed geometry, from Alexandria via LeMat-Bulk.

POSCAR file:
```
NdY2Zr
1.0
-3.569 0.742 1.736
-1.473 -3.416 -1.569
2.183 -3.737 6.087
Nd Y Zr
1 2 1
Cartesian
-1.429 -3.206 3.127
1.703 -2.914 4.747
0.481 -0.823 1.340
-2.521 -1.337 0.083
```

Computed properties:
**ΔE to the lowest computed polymorph**: 88 meV per atom
**Total magnetic moment**: 0.0 μB per cell
**Electronic total energy**: -6.38 eV/atom
**V**: 121.76 Å³/cell

=====

No. 3
The following is a PBE calculation of crystalline Nd2YZr at its relaxed geometry, from Alexandria via LeMat-Bulk.

POSCAR file:
```
Nd2YZr
1.0
-2.072 -1.244 2.546
-1.605 -3.096 -0.399
7.805 -6.741 5.478
Nd Y Zr
2 1 1
Cartesian
3.233 -8.391 5.791
0.895 -2.690 1.834
2.064 -5.541 3.813
0.000 0.000 0.000
```

Computed properties:
**ΔE to the lowest computed polymorph**: 0 meV per atom
**Total magnetic moment**: 0.0 μB per cell
**Electronic total energy**: -6.01 eV/atom
**V**: 122.72 Å³/cell

=====

No. 4
The following is a PBE calculation of crystalline NdY2Zr at its relaxed geometry, from Alexandria via LeMat-Bulk.

POSCAR file:
```
NdY2Zr
1.0
-2.157 -0.614 -2.663
-3.055 -1.574 0.561
-6.684 9.464 0.953
Nd Zr Y
1 1 2
Cartesian
-5.948 3.638 -0.575
0.000 0.000 0.000
-2.883 1.632 -0.318
-9.013 5.645 -0.831
```

Computed properties:
**ΔE to the lowest computed polymorph**: 0 meV per atom
**Total magnetic moment**: 0.0 μB per cell
**Electronic total energy**: -6.47 eV/atom
**V**: 120.22 Å³/cell

=====

No. 5
The following is a PBE calculation of crystalline Nd12Y6Zr at its relaxed geometry, from Alexandria via LeMat-Bulk.

POSCAR file:
```
Nd12Y6Zr
1.0
9.038 -0.613 -3.081
-4.117 8.069 -3.081
-0.405 -0.613 9.540
Y Zr Nd
6 1 12
Cartesian
0.420 2.093 2.825
3.206 1.209 0.891
0.813 3.424 -0.394
4.095 4.748 0.554
1.309 5.632 2.487
3.703 3.418 3.773
0.000 0.000 0.000
4.524 6.116 -2.914
-1.711 6.564 4.511
2.900 -0.142 4.244
6.226 0.278 -1.133
1.615 6.984 -0.865
6.221 1.008 5.162
-2.053 4.440 1.585
3.713 2.611 -2.417
0.803 4.231 5.795
-1.705 5.834 -1.784
6.568 2.402 1.794
-0.008 0.726 6.293
```

Computed properties:
**Total magnetic moment**: 0.0 μB per cell
**Electronic total energy**: -5.47 eV/atom
**V**: 635.87 Å³/cell

=====

No. 6
The following is a PBE calculation of crystalline Nd7Y12Zr at its relaxed geometry, from Alexandria via LeMat-Bulk.

POSCAR file:
```
Nd7Y12Zr
1.0
-7.797 2.629 3.004
-3.372 -3.399 -7.335
-0.309 -7.619 4.310
Y Nd Zr
12 7 1
Cartesian
-3.685 -4.348 -3.781
-2.970 -5.276 -0.468
-4.678 -8.293 -0.742
-6.801 -0.097 0.721
-8.531 -3.016 -3.056
-6.521 -5.826 -2.414
-6.057 -6.473 1.928
-2.948 -5.374 3.035
-5.422 -1.917 -1.949
-4.957 -2.564 2.392
-8.509 -3.114 0.447
-7.794 -4.042 3.760
-10.637 -5.349 -0.861
-8.471 -8.310 -1.292
-0.842 -3.041 0.840
-3.007 -0.080 1.271
-5.739 -4.195 -0.011
-9.338 -7.133 2.100
-2.141 -1.257 -2.122
0.000 0.000 0.000
```

Computed properties:
**Total magnetic moment**: 0.0 μB per cell
**Electronic total energy**: -5.72 eV/atom
**V**: 668.17 Å³/cell